No. 1
# PBE RbAg2PdBr6, relaxed
# total DFT energy (no corrections): -27.3 eV/cell
# N(E_F): 0.261 states/eV per atom
# theoretical density: 4.55 g/cm3
# energy relative to the elements, uncorrected: -542 meV per atom
data_RbAg2PdBr6
_chemical_formula_sum 'Rb1 Ag2 Pd1 Br6'
_space_group_name_H-M_alt 'P 1'
_space_group_IT_number 1
_cell_length_a 7.070
_cell_length_b 7.369
_cell_length_c 7.495
_cell_angle_alpha 89.50
_cell_angle_beta 67.24
_cell_angle_gamma 66.01
loop_
_space_group_symop_operation_xyz
'x,y,z'
loop_
_atom_site_label
_atom_site_type_symbol
_atom_site_fract_x
_atom_site_fract_y
_atom_site_fract_z
Rb1 Rb 0.000 0.000 0.000
Ag1 Ag 0.516 0.790 0.203
Ag2 Ag 0.546 0.177 0.614
Pd1 Pd 0.962 0.525 0.550
Br1 Br 0.108 0.767 0.372
Br2 Br 0.129 0.520 0.790
Br3 Br 0.398 0.177 0.329
Br4 Br 0.581 0.860 0.815
Br5 Br 0.779 0.314 0.739
Br6 Br 0.808 0.495 0.305


No. 2
# PBE AlReNi, relaxed
# polymorph energy (0 for the lowest one): 6.106 kcal/mol of atoms
# total DFT energy (no corrections): -22.2 eV/cell
# N(E_F): 0.935 states/eV per atom
# theoretical density: 11.25 g/cm3
# calculated formation energy: -7.2 kJ/mol of atoms
data_AlReNi
_chemical_formula_sum 'Al1 Re1 Ni1'
_space_group_name_H-M_alt 'P -6 m 2'
_space_group_IT_number 187
_space_group_name_Hall 'P -6 2'
_cell_length_a 4.1697
_cell_length_b 4.1697
_cell_length_c 2.6644
_cell_angle_alpha 90.00
_cell_angle_beta 90.00
_cell_angle_gamma 120.00
loop_
_atom_site_label
_atom_site_type_symbol
_atom_site_fract_x
_atom_site_fract_y
_atom_site_fract_z
Al1 Al 0.0000 0.0000 0.0000
Re1 Re 0.3333 0.6667 0.5000
Ni1 Ni 0.6667 0.3333 0.0000